[1]
CoPtSeO | the Open Quantum Materials Database | PBE with a Hubbard U | relaxed; energy above the lowest structure with this stoichiometry = 533 meV per atom; SG = P4/nmm, No. 129
1.0
3.893 0.000 0.000
0.000 3.893 0.000
0.000 0.000 7.947
Co Pt Se O
2 2 2 2
Direct
0.250 0.750 0.000
0.750 0.250 0.000
0.250 0.250 0.219
0.750 0.750 0.781
0.250 0.250 0.705
0.750 0.750 0.295
0.250 0.250 0.490
0.750 0.750 0.510

[2]
SrCo3Pt4O12 | the Open Quantum Materials Database | PBE with a Hubbard U | relaxed; uncorrected energy = -5.8960 eV/atom; SG = Im-3, No. 204
1.0
-3.809 3.809 3.809
3.809 -3.809 3.809
3.809 3.809 -3.809
Sr Co Pt O
1 3 4 12
Direct
0.000 0.000 0.000
0.000 0.500 0.500
0.500 0.000 0.500
0.500 0.500 0.000
0.000 0.000 0.500
0.000 0.500 0.000
0.500 0.000 0.000
0.500 0.500 0.500
0.137 0.824 0.313
0.176 0.313 0.488
0.176 0.687 0.863
0.313 0.137 0.824
0.313 0.488 0.176
0.488 0.176 0.313
0.512 0.824 0.687
0.687 0.512 0.824
0.687 0.863 0.176
0.824 0.313 0.137
0.824 0.687 0.512
0.863 0.176 0.687

[3]
CoTePtO | the Open Quantum Materials Database | PBE with a Hubbard U | relaxed; energy above the lowest structure with this stoichiometry = 0 meV per atom; SG = P4/nmm, No. 129
1.0
3.807 0.000 0.000
0.000 3.807 0.000
0.000 0.000 9.145
Co Te Pt O
2 2 2 2
Direct
0.250 0.250 0.070
0.750 0.750 0.930
0.250 0.250 0.681
0.750 0.750 0.319
0.250 0.250 0.389
0.750 0.750 0.611
0.250 0.750 0.000
0.750 0.250 0.000

[4]
CoTePtO | the Open Quantum Materials Database | PBE with a Hubbard U | relaxed; energy above the lowest structure with this stoichiometry = 765 meV per atom; SG = P4/nmm, No. 129
1.0
3.759 0.000 0.000
0.000 3.759 0.000
0.000 0.000 9.525
Co Te Pt O
2 2 2 2
Direct
0.250 0.250 0.153
0.750 0.750 0.847
0.250 0.250 0.877
0.750 0.750 0.123
0.250 0.750 0.500
0.750 0.250 0.500
0.250 0.250 0.343
0.750 0.750 0.657

[5]
CoTePtO | the Open Quantum Materials Database | PBE with a Hubbard U | relaxed; energy above the lowest structure with this stoichiometry = 273 meV per atom; SG = Pbca, No. 61
1.0
6.525 0.000 0.000
0.000 10.972 0.000
0.000 0.000 7.877
Co Te Pt O
8 8 8 8
Direct
0.227 0.124 0.017
0.227 0.376 0.517
0.273 0.624 0.017
0.273 0.876 0.517
0.727 0.124 0.483
0.727 0.376 0.983
0.773 0.624 0.483
0.773 0.876 0.983
0.005 0.025 0.746
0.005 0.475 0.246
0.495 0.525 0.746
0.495 0.975 0.246
0.505 0.025 0.754
0.505 0.475 0.254
0.995 0.525 0.754
0.995 0.975 0.254
0.003 0.724 0.243
0.003 0.776 0.743
0.497 0.224 0.243
0.497 0.276 0.743
0.503 0.724 0.257
0.503 0.776 0.757
0.997 0.224 0.257
0.997 0.276 0.757
0.245 0.722 0.406
0.245 0.778 0.906
0.255 0.222 0.406
0.255 0.278 0.906
0.745 0.722 0.094
0.745 0.778 0.594
0.755 0.222 0.094
0.755 0.278 0.594

[6]
CoTePtO | the Open Quantum Materials Database | PBE with a Hubbard U | relaxed; energy above the lowest structure with this stoichiometry = 508 meV per atom; SG = P4/nmm, No. 129
1.0
5.137 0.000 0.000
0.000 5.137 0.000
0.000 0.000 6.413
Co Te Pt O
2 2 2 2
Direct
0.250 0.250 0.018
0.750 0.750 0.982
0.250 0.750 0.500
0.750 0.250 0.500
0.250 0.250 0.391
0.750 0.750 0.609
0.250 0.250 0.752
0.750 0.750 0.248